Entry 1:
Computed, not measured: a relaxed structure of BeTcPd at the PBE-GGA level of DFT.

Output
E above lowest polymorph, eV per atom: 0.217
Space group: No. 187
Mass density, g cm⁻³: 9.10
Volume, Å³/f.u.: 39
Energy of formation from the pure elements, eV per atom: 0.0699
VASP energy, eV/f.u.: -19.08
Total moment, μB per formula unit: 0.40

abc: 4.1391 4.1391 2.6249
angles: 90.00 90.00 120.00
Atoms (fractional coordinates):
Be  0.0000  0.0000  0.0000
Tc  0.3333  0.6667  0.5000
Pd  0.6667  0.3333  0.0000

---

Entry 2:
Computed, not measured: a relaxed structure of BeTcPd at the PBE-GGA level of DFT.

Output
E above lowest polymorph, eV per atom: 0.127
Space group: No. 160
Mass density, g cm⁻³: 9.12
Volume, Å³/f.u.: 39
Energy of formation from the pure elements, eV per atom: -0.0199
VASP energy, eV/f.u.: -19.34
Total moment, μB per formula unit: 0.00

abc: 6.2435 6.2435 6.2435
angles: 25.21 25.21 25.21
Atoms (fractional coordinates):
Be  0.0000  0.0000  0.0000
Tc  0.7732  0.7732  0.7732
Pd  0.5682  0.5682  0.5682

---

Entry 3:
Computed, not measured: a relaxed structure of Be3TcPd at the PBE-GGA level of DFT.

Output
E above lowest polymorph, eV per atom: 0.191
Space group: No. 221
Mass density, g cm⁻³: 5.60
Volume, Å³/f.u.: 69
Energy of formation from the pure elements, eV per atom: 0.8643
VASP energy, eV/f.u.: -22.42
Total moment, μB per formula unit: 0.00

abc: 4.0950 4.0950 4.0950
angles: 90.00 90.00 90.00
Atoms (fractional coordinates):
Be  0.0000  0.0000  0.5000
Be  0.0000  0.5000  0.0000
Be  0.5000  0.0000  0.0000
Tc  0.0000  0.0000  0.0000
Pd  0.5000  0.5000  0.5000

---

Entry 4:
Computed, not measured: a relaxed structure of BeTc2Pd at the PBE-GGA level of DFT.

Output
Space group: No. 122
Mass density, g cm⁻³: 8.89
Volume, Å³/f.u.: 58
Energy of formation from the pure elements, eV per atom: 0.3862
VASP energy, eV/f.u.: -28.11
Total moment, μB per formula unit: 0.00

abc: 9.7694 9.7694 9.7694
angles: 159.31 159.31 29.42
Atoms (fractional coordinates):
Be  0.0000  0.0000  0.0000
Be  0.7500  0.2500  0.5000
Tc  0.1041  0.6250  0.9791
Tc  0.3750  0.3541  0.4791
Tc  0.6459  0.1250  0.0209
Tc  0.8750  0.8959  0.5209
Pd  0.2500  0.7500  0.5000
Pd  0.5000  0.5000  0.0000